No. 1
Below is a relaxed structure of La5Pm2PrIn, with properties calculated at the PBE level.

```
La5Pm2PrIn
1.0
-4.538 4.503 -5.985
-6.873 -4.753 1.636
-2.407 5.545 5.997
Pm La Pr In
4 10 2 2
Direct
0.500 0.876 0.624
0.500 0.376 0.876
0.500 0.124 0.376
0.500 0.624 0.124
0.785 0.722 0.778
0.785 0.222 0.722
0.215 0.278 0.222
0.215 0.778 0.278
0.215 0.722 0.778
0.785 0.778 0.278
0.500 0.500 0.500
0.215 0.222 0.722
0.500 0.000 0.000
0.785 0.278 0.222
0.000 0.000 0.000
0.000 0.500 0.500
0.000 0.500 0.000
0.000 0.000 0.500
```

Its calculated density is 6.5 g cm⁻³. The calculation puts the energy relative to the elements at 0.132 eV/atom. Its total magnetization is 0.00 μB/f.u. For the volume, the calculation gives 35.3 Å³/atom.

No. 2
Below is a relaxed structure of Ac6Tl2Te3Ir, with properties calculated at the PBE level.

```
Ac6Tl2Te3Ir
1.0
-1.607 -1.562 -7.647
4.371 -5.184 4.185
-7.677 -1.693 3.361
Te Ac Ir Tl
3 6 1 2
Direct
0.500 0.500 0.500
0.824 0.176 0.500
0.176 0.824 0.500
0.779 0.779 0.235
0.379 0.075 0.228
0.621 0.925 0.772
0.221 0.221 0.765
0.925 0.621 0.772
0.075 0.379 0.228
0.000 0.000 0.000
0.338 0.662 0.000
0.662 0.338 0.000
```

For the uncorrected formation energy, the calculation gives -0.947 eV per atom. Its calculated density is 8.6 g cm⁻³. Its total magnetization is 0.00 μB/f.u. For the volume, the calculation gives 37.6 Å³/atom.

No. 3
Below is a relaxed structure of CoTcIr2, with properties calculated at the PBE level.

```
CoTcIr2
1.0
4.265 0.000 0.000
0.000 2.722 0.000
0.000 -0.001 4.706
Ir Tc Co
2 1 1
Direct
0.000 0.125 0.947
0.500 0.125 0.292
0.000 0.625 0.469
0.500 0.625 0.793
```

Its calculated density is 16.5 g cm⁻³. The calculation puts the energy relative to the elements at -0.082 eV/atom. Its total magnetization is 1.12 μB/f.u. For the volume, the calculation gives 13.7 Å³/atom.

No. 4
Below is a relaxed structure of Na2Sm2OsO6, with properties calculated at the PBE level.

```
Na2Sm2OsO6
1.0
-4.091 3.277 2.666
-1.374 -5.272 -2.213
2.629 -1.978 4.929
Sm O Na Os
2 6 2 1
Direct
0.661 0.339 0.500
0.339 0.661 0.500
0.967 0.660 0.311
0.340 0.033 0.689
0.033 0.340 0.689
0.246 0.246 0.292
0.754 0.754 0.708
0.660 0.967 0.311
0.138 0.862 0.000
0.862 0.138 0.000
0.000 0.000 0.500
```

For the uncorrected formation energy, the calculation gives -2.094 eV per atom. Its calculated density is 6.1 g cm⁻³. Its total magnetization is 2.00 μB/f.u. For the volume, the calculation gives 15.6 Å³/atom.

No. 5
Below is a relaxed structure of BaLiCa2Cd, with properties calculated at the PBE level.

```
BaLiCa2Cd
1.0
-1.605 -2.097 -5.138
3.175 -4.733 0.940
-4.224 -2.378 2.291
Li Ca Cd Ba
1 2 1 1
Direct
0.000 0.000 0.000
0.000 0.500 0.000
0.500 0.000 0.000
0.000 0.000 0.500
0.500 0.500 0.500
```

Its calculated density is 3.1 g cm⁻³. The calculation puts the energy relative to the elements at 0.026 eV/atom. Its total magnetization is 0.00 μB/f.u. For the volume, the calculation gives 35.8 Å³/atom.

No. 6
Below is a relaxed structure of MnBe4, with properties calculated at the PBE level.

```
MnBe4
1.0
-1.500 1.500 4.848
1.500 -1.500 4.848
1.500 1.500 -4.848
Be Mn
4 1
Direct
0.750 0.250 0.500
0.402 0.402 0.000
0.598 0.598 0.000
0.250 0.750 0.500
0.000 0.000 0.000
```

Its calculated density is 3.5 g cm⁻³. The calculation puts the energy relative to the elements at 0.125 eV/atom. Its total magnetization is 1.16 μB/f.u. For the volume, the calculation gives 8.7 Å³/atom.

No. 7
Below is a relaxed structure of Tl2PbAu, with properties calculated at the PBE level.

```
Tl2PbAu
1.0
-4.062 -7.683 -3.380
-2.858 -8.875 0.092
-6.198 -6.962 -0.242
Tl Au Pb
2 1 1
Direct
0.237 0.237 0.237
0.000 0.000 0.000
0.500 0.500 0.500
0.763 0.763 0.763
```

Its calculated density is 11.5 g cm⁻³. The calculation puts the energy relative to the elements at -0.001 eV/atom. Its total magnetization is 0.00 μB/f.u. For the volume, the calculation gives 29.3 Å³/atom.

No. 8
Below is a relaxed structure of Er2H4Ir, with properties calculated at the PBE level.

```
Er2H4Ir
1.0
3.638 0.000 0.000
0.000 3.638 0.000
1.819 1.819 6.148
H Er Ir
4 2 1
Direct
0.000 0.500 0.000
0.145 0.145 0.710
0.855 0.855 0.290
0.500 0.000 0.000
0.351 0.351 0.299
0.649 0.649 0.701
0.000 0.000 0.000
```

As for the total energy: -34.29 eV/cell. Its calculated density is 10.8 g cm⁻³. Its total magnetization is 0.90 μB/f.u. For the volume, the calculation gives 11.6 Å³/atom.